The following is a DFT calculation (GGA-PBEsol) of crystalline Mo2IrOs at its relaxed geometry.

Final energy ... -11.536 eV/atom
Spin magnetization ... 0.0 Bohr magnetons per cell
ΔE_f ... -0.6 eV per formula unit

Lattice parameters (Å, degrees): 2.7592 4.4186 4.7724 90.00 90.00 90.00
With the nearest neighbours (Å) after each atom.
Sites, in units of the cell vectors:
Mo1 0.0000 0.0000 0.0000  4 Os 2.70, 4 Ir 2.74-2.77, 4 Mo 2.75-2.76
Mo2 0.0000 0.5000 0.3446  4 Ir 2.70, 4 Os 2.74-2.77, 4 Mo 2.75-2.76
Ir1 0.5000 0.0000 0.4970  8 Mo 2.70-2.77, 2 Ir 2.76, 2 Os 2.78
Os1 0.5000 0.5000 0.8489  8 Mo 2.70-2.77, 2 Os 2.76, 2 Ir 2.78

***

The following is a DFT calculation (GGA-PBEsol) of crystalline Li12Nb14ZnO42 at its relaxed geometry.

Final energy ... -8.213 eV/atom
Spin magnetization ... 0.0 Bohr magnetons per cell
Energy relative to the elements, uncorrected ... -2.46 eV per atom

Lattice parameters (Å, degrees): 8.9407 9.1530 9.7682 103.60 98.76 99.35
With the nearest neighbours (Å) after each atom.
Sites, in units of the cell vectors:
Li1 0.0000 0.0000 0.0000  6 O 2.04-2.28
Li2 0.0681 0.7883 0.6419  5 O 2.01-2.24
Li3 0.1438 0.5770 0.2831  6 O 2.04-2.26
Li4 0.2163 0.3602 0.9290  5 O 2.03-2.24
Li5 0.2905 0.1478 0.5705  6 O 2.05-2.26
Li6 0.3591 0.9299 0.2136  5 O 2.05-2.26
Li7 0.5034 0.5004 0.4951  5 O 2.03-2.23
Li8 0.5740 0.2861 0.1440  6 O 2.03-2.27
Li9 0.7175 0.8588 0.4293  6 O 2.05-2.27
Li10 0.7911 0.6486 0.0721  6 O 2.04-2.28
Li11 0.8605 0.4305 0.7146  6 O 2.05-2.26
Li12 0.9313 0.2178 0.3582  6 O 2.04-2.27
Nb1 0.0444 0.8832 0.3632  4 O 1.90-2.12
Nb2 0.1144 0.6682 0.0044  3 O 1.88-1.91
Nb3 0.1868 0.4601 0.6490  5 O 1.89-2.11
Nb4 0.2574 0.2405 0.2920  3 O 1.89-1.91
Nb5 0.3313 0.0205 0.9363  5 O 1.91-2.10
Nb6 0.3950 0.8051 0.5750  5 O 1.89-2.11
Nb7 0.4716 0.5966 0.2187  3 O 1.89-1.92
Nb8 0.5380 0.3857 0.8681  3 O 1.85-1.95
Nb9 0.6144 0.1675 0.5036  3 O 1.88-1.90
Nb10 0.6875 0.9514 0.1481  3 O 1.87-1.92
Nb11 0.7480 0.7316 0.7894  5 O 1.88-2.09
Nb12 0.8294 0.5256 0.4351  3 O 1.90
Nb13 0.9043 0.3117 0.0808  4 O 1.90-2.09
Nb14 0.9798 0.0943 0.7208  4 O 1.86-2.07
Zn1 0.6490 0.0766 0.7849  5 O 2.00-2.20
O1 0.0129 0.2264 0.9391  1 Nb 1.90, 1 Li 2.05
O2 0.0828 0.5099 0.8300  2 Nb 1.91-2.11, 1 Li 2.05
O3 0.0942 0.3430 0.2469  2 Nb 1.91-2.09, 1 Li 2.05
O4 0.1024 0.0952 0.3725  2 Nb 1.90-2.13, 1 Li 2.05
O5 0.1280 0.9785 0.8160  2 Nb 1.93-2.07, 1 Li 2.06
O6 0.1383 0.2332 0.6882  1 Nb 1.86, 1 Li 2.05
O7 0.1556 0.7965 0.2252  1 Nb 1.90, 1 Li 2.05
O8 0.2236 0.0877 0.1167  1 Nb 1.89, 1 Li 2.07
O9 0.2374 0.9135 0.5304  2 Nb 1.91-2.12, 1 Li 2.05
O10 0.2386 0.6696 0.6519  2 Nb 1.89-2.06, 1 Li 2.01
O11 0.2729 0.5493 0.0996  1 Nb 1.89, 1 Li 2.03
O12 0.2783 0.8150 0.9859  2 Nb 1.88-2.05
O13 0.2996 0.3726 0.5117  1 Nb 1.90, 1 Li 2.05
O14 0.3649 0.6552 0.3982  1 Nb 1.89, 1 Li 2.04
O15 0.3727 0.4707 0.8123  1 Nb 1.85
O16 0.3890 0.2351 0.9467  2 Nb 1.92-2.12, 1 Li 2.08
O17 0.4141 0.1224 0.3867  1 Nb 1.90, 1 Li 2.07
O18 0.4271 0.3795 0.2661  1 Nb 1.90, 1 Li 2.06
O19 0.4473 0.9510 0.7939  1 Nb 1.91, 1 Zn 2.00
O20 0.5140 0.2227 0.6921  2 Nb 1.95-2.16, 1 Li 2.08
O21 0.5227 0.0532 0.1022  2 Nb 1.92-2.10, 1 Li 2.03
O22 0.5314 0.8084 0.2305  1 Nb 1.90, 1 Li 2.05
O23 0.5572 0.6920 0.6627  1 Nb 1.88, 1 Li 2.03
O24 0.5679 0.9489 0.5510  2 Nb 1.94-2.15, 1 Li 2.07
O25 0.5879 0.5110 0.0815  2 Nb 1.92-2.07, 1 Li 2.06
O26 0.6648 0.6244 0.3876  1 Nb 1.90, 1 Li 2.05
O27 0.6650 0.7983 0.9780  2 Nb 1.87-2.09
O28 0.6733 0.3792 0.5168  1 Nb 1.89, 1 Li 2.04
O29 0.7012 0.2595 0.9579  1 Nb 1.94, 1 Zn 2.01
O30 0.7092 0.5197 0.8349  2 Nb 1.92-2.08, 1 Li 2.07
O31 0.7298 0.0849 0.3695  1 Nb 1.88, 1 Li 2.04
O32 0.7953 0.3684 0.2601  2 Nb 1.90-2.13, 1 Li 2.05
O33 0.8069 0.1927 0.6778  2 Nb 1.95-2.17, 1 Li 2.08, 1 Zn 2.17
O34 0.8106 0.9501 0.8026  1 Nb 1.96, 1 Zn 2.00
O35 0.8432 0.8369 0.2466  2 Nb 1.90-2.12, 1 Li 2.05
O36 0.8562 0.0935 0.1243  2 Nb 1.91-2.13, 1 Li 2.05
O37 0.8692 0.6550 0.6544  2 Nb 1.91-2.13, 1 Li 2.02
O38 0.9389 0.9370 0.5465  1 Nb 1.90, 1 Li 2.05
O39 0.9517 0.7661 0.9566  1 Nb 1.88, 1 Li 2.04
O40 0.9589 0.5226 0.0869  1 Nb 1.90, 1 Li 2.04
O41 0.9852 0.4072 0.5307  2 Nb 1.91-2.13, 1 Li 2.05
O42 0.9975 0.6639 0.4079  1 Nb 1.90, 1 Li 2.05

***

The following is a DFT calculation (GGA-PBEsol) of crystalline CaHg2Pd2 at its relaxed geometry.

Final energy ... -3.485 eV/atom
Spin magnetization ... 0.0 Bohr magnetons per cell
ΔE_f ... -2.2 eV per formula unit

Lattice parameters (Å, degrees): 7.4248 7.4248 3.5212 90.00 90.00 90.00
With the nearest neighbours (Å) after each atom.
Sites, in units of the cell vectors:
Ca1 0.0000 0.0000 0.0000  4 Pd 2.89
Ca2 0.5000 0.5000 0.0000  4 Pd 2.89
Hg1 0.1617 0.3383 0.5000  6 Pd 2.77-2.82
Hg2 0.3383 0.8383 0.5000  6 Pd 2.77-2.82
Hg3 0.6617 0.1617 0.5000  6 Pd 2.77-2.82
Hg4 0.8383 0.6617 0.5000  6 Pd 2.77-2.82
Pd1 0.1341 0.6341 0.0000  6 Hg 2.77-2.82, 1 Pd 2.82, 2 Ca 2.89
Pd2 0.3659 0.1341 0.0000  6 Hg 2.77-2.82, 1 Pd 2.82, 2 Ca 2.89
Pd3 0.6341 0.8659 0.0000  6 Hg 2.77-2.82, 1 Pd 2.82, 2 Ca 2.89
Pd4 0.8659 0.3659 0.0000  6 Hg 2.77-2.82, 1 Pd 2.82, 2 Ca 2.89

***

The following is a DFT calculation (GGA-PBEsol) of crystalline ZrTeBr2 at its relaxed geometry.

Final energy ... -4.743 eV/atom
Spin magnetization ... 0.0 Bohr magnetons per cell
Energy relative to the elements, uncorrected ... -0.65 eV per atom

Lattice parameters (Å, degrees): 3.7331 3.7331 7.5990 90.00 90.00 90.00
With the nearest neighbours (Å) after each atom.
Sites, in units of the cell vectors:
Zr1 0.0000 0.0000 0.0000  1 Br 2.88, 4 Te 2.94
Te1 0.5000 0.5000 0.8282  4 Zr 2.94, 5 Br 3.07-3.18
Br1 0.0000 0.0000 0.6208  1 Zr 2.88, 4 Te 3.07
Br2 0.5000 0.5000 0.2471  1 Te 3.18, 4 Zr 3.24